P | The following is a PBE-GGA calculation of a relaxed LaRuSCl2 crystal, from Alexandria.

abc: 5.486 5.486 5.596
angles: 90.00 90.00 90.00
Space group P4/mmm (No. 123)
Asymmetric unit:
La 0.000 0.000 0.000
Ru 0.500 0.500 0.500
S 0.000 0.000 0.500
Cl 0.000 0.500 0.000

## Properties
- crystal system = tetragonal
- theoretical density (g/cm³) = 3.381

=====

Q | The following is a PBE-GGA calculation of a relaxed LaRuSCl2 crystal, from Alexandria.

abc: 4.676 4.676 4.805
angles: 90.00 90.00 90.00
Space group P4/mmm (No. 123)
Asymmetric unit:
La 0.000 0.000 0.000
Ru 0.500 0.500 0.500
S 0.500 0.500 0.000
Cl 0.000 0.500 0.500

## Properties
- crystal system = tetragonal
- theoretical density (g/cm³) = 5.421

=====

Pick the least stable structure from those above. Pick: P